CrAgC3: optimized geometry, PBEsol.

crystal system: cubic
energy of formation from the pure elements: 3230 meV/atom
size of the total moment: 3.33 Bohr magnetons per cell

```
CrAgC3
1.0
4.012 0.000 0.000
0.000 4.012 0.000
0.000 0.000 4.012
Cr C Ag
1 3 1
direct
0.500 0.500 0.500
0.000 0.500 0.000
0.000 0.000 0.500
0.500 0.000 0.000
0.000 0.000 0.000
```